No. 1
## AlSiRu (PBE)

Data for AlSiRu after structural relaxation.

```
AlSiRu
1.0
-3.572 0.019 1.942
-0.624 -2.514 3.134
-0.253 1.483 3.777
Si Al Ru
1 1 1
direct
0.000 0.000 0.000 Si
0.500 0.500 0.500 Al
0.750 0.750 0.750 Ru
```

- Calculated volume: 15.844 Å³ per atom
- D(E_F): 1.669 states/eV per cell
- VASP energy: -6.49 eV per atom
- Uncorrected formation energy: -0.3458 eV/atom

No. 2
## LaTb2Ir9 (PBE)

Data for LaTb2Ir9 after structural relaxation.

```
LaTb2Ir9
1.0
-1.261 4.369 2.836
-0.553 -0.326 5.320
7.919 3.160 3.716
Ir Tb La
9 2 1
direct
0.083 0.582 0.752 Ir
0.917 0.418 0.248 Ir
0.667 0.667 0.998 Ir
0.418 0.418 0.248 Ir
0.500 0.500 0.500 Ir
0.418 0.917 0.248 Ir
0.582 0.083 0.752 Ir
0.582 0.582 0.752 Ir
0.333 0.333 0.002 Ir
0.140 0.140 0.581 Tb
0.860 0.860 0.419 Tb
0.000 0.000 0.000 La
```

- Calculated volume: 18.176 Å³ per atom
- D(E_F): 13.090 states/eV per cell
- VASP energy: -8.41 eV per atom
- Formation enthalpy at 0 K: -6.943 eV/f.u.

No. 3
## PmGe3Ir (PBE)

Data for PmGe3Ir after structural relaxation.

```
PmGe3Ir
1.0
5.829 0.000 0.000
0.000 5.746 -0.001
0.000 0.001 6.115
Ir Ge Pm
2 6 2
direct
0.660 0.561 0.201 Ir
0.160 0.792 0.701 Ir
0.966 0.499 0.935 Ge
0.366 0.270 0.201 Ge
0.465 0.854 0.967 Ge
0.866 0.082 0.701 Ge
0.965 0.499 0.467 Ge
0.466 0.854 0.435 Ge
0.421 0.314 0.701 Pm
0.921 0.039 0.201 Pm
```

- Calculated volume: 20.480 Å³ per atom
- D(E_F): 4.470 states/eV per cell
- Relative energy among the computed polymorphs: 60 meV/atom
- VASP energy: -6.08 eV per atom
- Formation enthalpy at 0 K: -2.920 eV/f.u.

No. 4
## ZnCu (PBE)

Data for ZnCu after structural relaxation.

```
ZnCu
1.0
2.726 0.000 0.000
1.363 4.755 0.084
0.000 1.789 6.085
Cu Zn
3 3
direct
0.666 0.668 0.323 Cu
0.995 0.010 0.993 Cu
0.611 0.777 0.733 Cu
0.326 0.349 0.660 Zn
0.958 0.084 0.397 Zn
0.277 0.446 0.061 Zn
```

- Calculated volume: 13.076 Å³ per atom
- D(E_F): 1.751 states/eV per cell
- VASP energy: -2.76 eV per atom
- Formation enthalpy at 0 K: -0.146 eV/f.u.

No. 5
## Na2SrSn2 (PBE)

Data for Na2SrSn2 after structural relaxation.

```
Na2SrSn2
1.0
-2.362 5.257 7.137
5.161 -5.189 5.530
2.724 2.056 -0.613
Sr Na Sn
2 4 4
direct
0.500 0.500 0.000 Sr
0.000 0.000 0.000 Sr
0.615 0.115 0.000 Na
0.385 0.885 0.000 Na
0.885 0.615 0.000 Na
0.115 0.385 0.000 Na
0.183 0.683 0.500 Sn
0.817 0.317 0.500 Sn
0.317 0.183 0.500 Sn
0.683 0.817 0.500 Sn
```

- Calculated volume: 29.177 Å³ per atom
- D(E_F): 4.510 states/eV per cell
- Relative energy among the computed polymorphs: 92 meV/atom
- VASP energy: -2.72 eV per atom
- Formation enthalpy at 0 K: -1.256 eV/f.u.

No. 6
## CrIn2Tc (PBE)

Data for CrIn2Tc after structural relaxation.

```
CrIn2Tc
1.0
7.348 0.000 0.000
0.000 7.348 0.000
3.674 3.674 2.776
In Tc Cr
4 2 2
direct
0.618 0.125 0.250 In
0.375 0.382 0.750 In
0.132 0.625 0.250 In
0.875 0.868 0.750 In
0.000 0.000 0.000 Tc
0.750 0.250 0.500 Tc
0.500 0.500 0.000 Cr
0.250 0.750 0.500 Cr
```

- Calculated volume: 18.738 Å³ per atom
- D(E_F): 14.115 states/eV per cell
- Relative energy among the computed polymorphs: 813 meV/atom
- VASP energy: -5.36 eV per atom
- Formation enthalpy at 0 K: 4.021 eV/f.u.

No. 7
## Tm3Mg8 (PBE)

Data for Tm3Mg8 after structural relaxation.

```
Tm3Mg8
1.0
5.040 0.000 1.107
2.399 4.433 1.107
-0.013 -0.008 12.090
Mg Tm
8 3
direct
0.637 0.637 0.089 Mg
0.176 0.176 0.471 Mg
0.272 0.272 0.183 Mg
0.728 0.728 0.817 Mg
0.824 0.824 0.529 Mg
0.912 0.912 0.265 Mg
0.363 0.363 0.911 Mg
0.088 0.088 0.735 Mg
0.453 0.453 0.642 Tm
0.000 0.000 0.000 Tm
0.547 0.547 0.358 Tm
```

- Calculated volume: 24.565 Å³ per atom
- D(E_F): 6.750 states/eV per cell
- VASP energy: -2.42 eV per atom
- Formation enthalpy at 0 K: -0.408 eV/f.u.

No. 8
## TbSm2PuN4 (PBE)

Data for TbSm2PuN4 after structural relaxation.

```
TbSm2PuN4
1.0
-2.699 1.954 1.190
-2.199 0.416 -5.671
-2.365 -4.928 2.727
Sm Tb N Pu
2 1 4 1
direct
0.000 0.500 0.500 Sm
0.500 0.000 0.500 Sm
0.500 0.500 0.000 Tb
0.500 0.239 0.234 N
0.500 0.761 0.766 N
0.000 0.753 0.238 N
0.000 0.247 0.762 N
0.000 0.000 0.000 Pu
```

- Calculated volume: 15.543 Å³ per atom
- D(E_F): 7.314 states/eV per cell
- VASP energy: -9.18 eV per atom
- Uncorrected formation energy: -1.4685 eV/atom

No. 9
## VZnNi (PBE)

Data for VZnNi after structural relaxation.

```
VZnNi
1.0
2.511 0.000 0.000
0.000 4.165 0.000
0.000 -2.082 3.607
V Zn Ni
1 1 1
direct
0.998 0.000 0.000 V
0.493 0.333 0.667 Zn
0.508 0.667 0.333 Ni
```

- Calculated volume: 12.574 Å³ per atom
- D(E_F): 2.134 states/eV per cell
- VASP energy: -5.47 eV per atom
- Formation enthalpy at 0 K: -0.239 eV/f.u.

No. 10
## SmEr6Tm6 (PBE)

Data for SmEr6Tm6 after structural relaxation.

```
SmEr6Tm6
1.0
6.564 -0.001 0.000
-3.282 5.684 0.000
0.000 0.000 11.301
Er Tm Sm
6 6 1
direct
0.667 0.333 0.500 Er
0.000 0.000 0.347 Er
0.667 0.333 0.000 Er
0.000 0.000 0.653 Er
0.333 0.667 0.000 Er
0.333 0.667 0.500 Er
0.000 0.500 0.243 Tm
0.500 0.000 0.757 Tm
0.000 0.500 0.757 Tm
0.500 0.000 0.243 Tm
0.500 0.500 0.757 Tm
0.500 0.500 0.243 Tm
0.000 0.000 0.000 Sm
```

- Calculated volume: 32.427 Å³ per atom
- D(E_F): 27.413 states/eV per cell
- VASP energy: -4.25 eV per atom
- Formation enthalpy at 0 K: 3.644 eV/f.u.

No. 11
## VIrI3 (PBE)

Data for VIrI3 after structural relaxation.

```
VIrI3
1.0
5.470 0.000 0.000
0.000 5.470 0.000
0.000 0.000 5.470
I V Ir
3 1 1
direct
0.000 0.000 0.500 I
0.500 0.000 0.000 I
0.000 0.500 0.000 I
0.000 0.000 0.000 V
0.500 0.500 0.500 Ir
```

- Calculated volume: 32.729 Å³ per atom
- D(E_F): 9.637 states/eV per cell
- Relative energy among the computed polymorphs: 292 meV/atom
- VASP energy: -3.42 eV per atom
- Uncorrected formation energy: 1.1044 eV/atom

No. 12
## RbLi2AsS4 (PBE)

Data for RbLi2AsS4 after structural relaxation.

```
RbLi2AsS4
1.0
6.347 0.833 0.000
-1.453 6.235 0.000
-2.447 -3.534 4.744
S Li Rb As
4 2 1 1
direct
0.038 0.038 0.375 S
0.662 0.662 0.625 S
0.338 0.962 0.000 S
0.962 0.338 0.000 S
0.750 0.250 0.500 Li
0.250 0.750 0.500 Li
0.500 0.500 0.000 Rb
0.000 0.000 0.000 As
```

- Calculated volume: 24.185 Å³ per atom
- D(E_F): 0.000 states/eV per cell
- VASP energy: -4.08 eV per atom
- Uncorrected formation energy: -0.8319 eV/atom

No. 13
## Ac3Cu5S12 (PBE)

Data for Ac3Cu5S12 after structural relaxation.

```
Ac3Cu5S12
1.0
-7.648 -10.762 -0.276
11.483 -2.606 -5.978
2.255 3.478 12.538
S Ac Cu
48 12 20
direct
0.196 0.678 0.085 S
0.678 0.196 0.585 S
0.982 0.594 0.178 S
0.822 0.915 0.304 S
0.085 0.178 0.196 S
0.678 0.482 0.594 S
0.594 0.612 0.415 S
0.178 0.094 0.982 S
0.094 0.178 0.482 S
0.482 0.678 0.094 S
0.304 0.888 0.982 S
0.406 0.018 0.322 S
0.482 0.804 0.888 S
0.612 0.018 0.196 S
0.594 0.982 0.678 S
0.018 0.612 0.696 S
0.178 0.085 0.696 S
0.585 0.888 0.406 S
0.388 0.406 0.085 S
0.696 0.585 0.178 S
0.415 0.112 0.594 S
0.915 0.094 0.612 S
0.518 0.196 0.112 S
0.518 0.322 0.906 S
0.406 0.388 0.585 S
0.915 0.822 0.804 S
0.094 0.915 0.112 S
0.304 0.415 0.822 S
0.112 0.415 0.094 S
0.415 0.304 0.322 S
0.804 0.322 0.915 S
0.196 0.518 0.612 S
0.888 0.304 0.482 S
0.085 0.906 0.388 S
0.322 0.804 0.415 S
0.982 0.388 0.304 S
0.612 0.594 0.915 S
0.888 0.585 0.906 S
0.112 0.696 0.518 S
0.322 0.518 0.406 S
0.585 0.696 0.678 S
0.804 0.482 0.388 S
0.388 0.982 0.804 S
0.822 0.906 0.018 S
0.018 0.406 0.822 S
0.906 0.085 0.888 S
0.906 0.822 0.518 S
0.696 0.112 0.018 S
0.625 0.250 0.375 Ac
0.750 0.375 0.125 Ac
0.125 0.250 0.875 Ac
0.250 0.125 0.375 Ac
0.250 0.625 0.875 Ac
0.875 0.125 0.250 Ac
0.875 0.750 0.125 Ac
0.375 0.750 0.625 Ac
0.125 0.875 0.750 Ac
0.750 0.875 0.625 Ac
0.375 0.625 0.250 Ac
0.625 0.375 0.750 Ac
0.125 0.750 0.375 Cu
0.250 0.875 0.125 Cu
0.500 0.000 0.500 Cu
0.250 0.375 0.625 Cu
0.750 0.125 0.875 Cu
0.875 0.625 0.750 Cu
0.125 0.375 0.250 Cu
0.000 0.000 0.000 Cu
0.875 0.250 0.625 Cu
0.500 0.000 0.000 Cu
0.625 0.875 0.250 Cu
0.375 0.250 0.125 Cu
0.625 0.750 0.875 Cu
0.750 0.625 0.375 Cu
0.000 0.000 0.500 Cu
0.000 0.500 0.500 Cu
0.500 0.500 0.000 Cu
0.500 0.500 0.500 Cu
0.375 0.125 0.750 Cu
0.000 0.500 0.000 Cu
```

- Calculated volume: 22.159 Å³ per atom
- D(E_F): 72.996 states/eV per cell
- VASP energy: -4.82 eV per atom
- Uncorrected formation energy: -0.6993 eV/atom

No. 14
## AlGeTeN2 (PBE)

Data for AlGeTeN2 after structural relaxation.

```
AlGeTeN2
1.0
3.847 0.000 0.000
0.000 3.847 0.000
0.000 0.000 5.786
N Al Ge Te
2 1 1 1
direct
0.500 0.000 0.000 N
0.000 0.500 0.000 N
0.000 0.000 0.000 Al
0.500 0.500 0.500 Ge
0.000 0.000 0.500 Te
```

- Calculated volume: 17.125 Å³ per atom
- D(E_F): 2.305 states/eV per cell
- Relative energy among the computed polymorphs: 0 meV/atom
- VASP energy: -4.79 eV per atom
- Uncorrected formation energy: 0.8403 eV/atom

No. 15
## Y2TlIr (PBE)

Data for Y2TlIr after structural relaxation.

```
Y2TlIr
1.0
5.828 0.006 0.000
2.613 5.209 0.000
-4.221 -2.607 3.058
Ir Y Tl
1 2 1
direct
0.500 0.500 0.000 Ir
0.000 0.000 0.000 Y
0.250 0.750 0.500 Y
0.750 0.250 0.500 Tl
```

- Calculated volume: 23.200 Å³ per atom
- D(E_F): 3.212 states/eV per cell
- Relative energy among the computed polymorphs: 300 meV/atom
- VASP energy: -6.34 eV per atom
- Formation enthalpy at 0 K: -1.222 eV/f.u.

No. 16
## Ba2VHg (PBE)

Data for Ba2VHg after structural relaxation.

```
Ba2VHg
1.0
-6.926 -2.328 5.547
5.998 -3.329 6.091
-0.285 0.320 7.363
Ba Hg V
4 2 2
direct
0.127 0.625 0.250 Ba
0.623 0.125 0.250 Ba
0.875 0.873 0.750 Ba
0.375 0.377 0.750 Ba
0.750 0.250 0.500 Hg
0.000 0.000 0.000 Hg
0.500 0.500 0.000 V
0.250 0.750 0.500 V
```

- Calculated volume: 36.930 Å³ per atom
- D(E_F): 6.265 states/eV per cell
- VASP energy: -2.78 eV per atom
- Formation enthalpy at 0 K: 2.143 eV/f.u.

No. 17
## Zr2CrW (PBE)

Data for Zr2CrW after structural relaxation.

```
Zr2CrW
1.0
-6.321 -6.865 -0.892
-4.806 -7.900 1.538
-7.054 -5.877 1.893
W Zr Cr
1 2 1
direct
0.762 0.762 0.762 W
0.006 0.006 0.006 Zr
0.239 0.239 0.239 Zr
0.493 0.493 0.493 Cr
```

- Calculated volume: 18.479 Å³ per atom
- D(E_F): 4.111 states/eV per cell
- Relative energy among the computed polymorphs: 232 meV/atom
- VASP energy: -9.57 eV per atom
- Formation enthalpy at 0 K: 1.411 eV/f.u.

No. 18
## HoNi4Sb2 (PBE)

Data for HoNi4Sb2 after structural relaxation.

```
HoNi4Sb2
1.0
4.069 0.000 0.000
0.000 7.494 0.000
0.000 0.000 7.494
Ho Sb Ni
2 4 8
direct
0.500 0.000 0.000 Ho
0.000 0.500 0.500 Ho
0.500 0.716 0.716 Sb
0.000 0.784 0.216 Sb
0.500 0.284 0.284 Sb
0.000 0.216 0.784 Sb
0.500 0.137 0.595 Ni
0.500 0.405 0.863 Ni
0.000 0.637 0.905 Ni
0.000 0.363 0.095 Ni
0.000 0.905 0.637 Ni
0.500 0.595 0.137 Ni
0.000 0.095 0.363 Ni
0.500 0.863 0.405 Ni
```

- Calculated volume: 16.325 Å³ per atom
- D(E_F): 6.813 states/eV per cell
- VASP energy: -5.55 eV per atom
- Uncorrected formation energy: -0.4156 eV/atom

No. 19
## BaLiRu2Se (PBE)

Data for BaLiRu2Se after structural relaxation.

```
BaLiRu2Se
1.0
-1.185 4.427 0.364
-3.031 -1.109 3.616
3.386 0.656 3.040
Ru Li Ba Se
2 1 1 1
direct
0.000 0.000 0.500 Ru
0.500 0.000 0.000 Ru
0.000 0.000 0.000 Li
0.500 0.500 0.500 Ba
0.000 0.500 0.000 Se
```

- Calculated volume: 20.489 Å³ per atom
- D(E_F): 5.865 states/eV per cell
- VASP energy: -4.55 eV per atom
- Uncorrected formation energy: 0.6268 eV/atom

No. 20
## K2PmBO4 (PBE)

Data for K2PmBO4 after structural relaxation.

```
K2PmBO4
1.0
5.236 0.000 0.000
2.618 5.662 0.000
2.618 0.000 12.035
O K Pm B
8 4 2 2
direct
0.969 0.665 0.573 O
0.385 0.835 0.073 O
0.543 0.165 0.073 O
0.365 0.665 0.427 O
0.781 0.835 0.927 O
0.207 0.335 0.427 O
0.292 0.165 0.927 O
0.458 0.335 0.573 O
0.811 0.000 0.377 K
0.189 0.000 0.623 K
0.939 0.500 0.123 K
0.561 0.500 0.877 K
0.750 0.500 0.500 Pm
0.000 0.000 0.000 Pm
0.500 0.000 0.000 B
0.250 0.500 0.500 B
```

- Calculated volume: 22.301 Å³ per atom
- D(E_F): 0.000 states/eV per cell
- VASP energy: -6.14 eV per atom
- Uncorrected formation energy: -1.9551 eV/atom